No. 1
Below is Sr2FeTcS6 after structural relaxation, with properties calculated at the GGA-PBE level.

## Properties
Total DFT energy (no corrections) (eV per atom): -5.53
Relative energy among the computed polymorphs (eV/atom): 0.000
Space group: No. 2

a = 6.430 Å, b = 6.487 Å, c = 6.510 Å
α = 62.09°, β = 64.06°, γ = 63.24°
Each line ends with the local moment (μB).
Atoms (fractional coordinates):
S (0.238, 0.311, 0.690)  0.07
S (0.179, 0.814, 0.727)  0.07
S (0.324, 0.260, 0.169)  0.06
S (0.762, 0.689, 0.310)  0.07
S (0.821, 0.186, 0.273)  0.07
S (0.676, 0.740, 0.831)  0.06
Sr (0.754, 0.251, 0.750)  0.02
Sr (0.246, 0.749, 0.250)  0.02
Tc (0.500, 0.000, 0.500)  1.41
Fe (0.000, 0.500, 0.000)  2.87

---

No. 2
Below is InMo4AuN2 after structural relaxation, with properties calculated at the GGA-PBE level.

## Properties
Total DFT energy (no corrections) (eV per atom): -8.20
Space group: No. 187

a = 2.912 Å, b = 2.912 Å, c = 15.124 Å
α = 90.00°, β = 90.00°, γ = 120.00°
Atoms (fractional coordinates):
Mo (0.667, 0.333, 0.160)
Mo (0.000, 0.000, 0.661)
Mo (0.667, 0.333, 0.840)
Mo (0.000, 0.000, 0.339)
In (0.667, 0.333, 0.500)
Au (0.000, 0.000, 0.000)
N (0.333, 0.667, 0.249)
N (0.333, 0.667, 0.751)

---

No. 3
Below is SmB4As after structural relaxation, with properties calculated at the GGA-PBE level.

## Properties
Total DFT energy (no corrections) (eV per atom): -5.85
Relative energy among the computed polymorphs (eV/atom): 0.162
Space group: No. 191

a = 3.185 Å, b = 3.185 Å, c = 7.819 Å
α = 90.00°, β = 90.00°, γ = 120.00°
Atoms (fractional coordinates):
B (0.667, 0.333, 0.236)
B (0.333, 0.667, 0.236)
B (0.333, 0.667, 0.764)
B (0.667, 0.333, 0.764)
As (0.000, 0.000, 0.000)
Sm (0.000, 0.000, 0.500)

---

No. 4
Below is LuScBePt after structural relaxation, with properties calculated at the GGA-PBE level.

## Properties
Total DFT energy (no corrections) (eV per atom): -5.79
Relative energy among the computed polymorphs (eV/atom): 0.000
Space group: No. 216

a = 4.697 Å, b = 4.697 Å, c = 4.697 Å
α = 60.00°, β = 60.00°, γ = 60.00°
Atoms (fractional coordinates):
Be (0.750, 0.750, 0.750)
Lu (0.500, 0.500, 0.500)
Pt (0.250, 0.250, 0.250)
Sc (0.000, 0.000, 0.000)

---

No. 5
Below is CsHo2Cu3TeS4 after structural relaxation, with properties calculated at the GGA-PBE level.

## Properties
Total DFT energy (no corrections) (eV per atom): -4.82
Space group: No. 63

a = 7.360 Å, b = 7.360 Å, c = 17.362 Å
α = 90.00°, β = 90.00°, γ = 148.06°
Atoms (fractional coordinates):
Cs (0.951, 0.049, 0.250)
Cs (0.049, 0.951, 0.750)
Ho (0.188, 0.812, 0.083)
Ho (0.812, 0.188, 0.917)
Ho (0.188, 0.812, 0.417)
Ho (0.812, 0.188, 0.583)
S (0.170, 0.830, 0.569)
S (0.170, 0.830, 0.931)
S (0.830, 0.170, 0.431)
S (0.438, 0.562, 0.897)
S (0.830, 0.170, 0.069)
S (0.562, 0.438, 0.103)
S (0.562, 0.438, 0.397)
S (0.438, 0.562, 0.603)
Te (0.245, 0.755, 0.250)
Te (0.755, 0.245, 0.750)
Cu (0.585, 0.415, 0.537)
Cu (0.645, 0.355, 0.250)
Cu (0.355, 0.645, 0.750)
Cu (0.585, 0.415, 0.963)
Cu (0.415, 0.585, 0.463)
Cu (0.415, 0.585, 0.037)

---

No. 6
Below is ErTmCu2Ge2 after structural relaxation, with properties calculated at the GGA-PBE level.

## Properties
Total DFT energy (no corrections) (eV per atom): -4.96
Space group: No. 156

a = 4.235 Å, b = 4.235 Å, c = 7.217 Å
α = 90.00°, β = 90.00°, γ = 120.00°
Atoms (fractional coordinates):
Er (0.000, 0.000, 0.747)
Tm (0.000, 0.000, 0.248)
Ge (0.667, 0.333, 0.019)
Ge (0.333, 0.667, 0.516)
Cu (0.667, 0.333, 0.473)
Cu (0.333, 0.667, 0.976)

---

Copy entry 1 word for word.
Below is Sr2FeTcS6 after structural relaxation, with properties calculated at the GGA-PBE level.

## Properties
Total DFT energy (no corrections) (eV per atom): -5.53
Relative energy among the computed polymorphs (eV/atom): 0.000
Space group: No. 2

a = 6.430 Å, b = 6.487 Å, c = 6.510 Å
α = 62.09°, β = 64.06°, γ = 63.24°
Each line ends with the local moment (μB).
Atoms (fractional coordinates):
S (0.238, 0.311, 0.690)  0.07
S (0.179, 0.814, 0.727)  0.07
S (0.324, 0.260, 0.169)  0.06
S (0.762, 0.689, 0.310)  0.07
S (0.821, 0.186, 0.273)  0.07
S (0.676, 0.740, 0.831)  0.06
Sr (0.754, 0.251, 0.750)  0.02
Sr (0.246, 0.749, 0.250)  0.02
Tc (0.500, 0.000, 0.500)  1.41
Fe (0.000, 0.500, 0.000)  2.87